No. 1
# PmPrScAl GGA-PBE optimized geometry
# Energy of formation from the pure elements: -34 kJ/mol of formula units
# E: -20.0 eV for the cell shown
# DOS at the Fermi energy: 6.7 states/eV/cell
data_PmPrScAl
_symmetry_space_group_name_H-M 'P 1'
_symmetry_Int_Tables_number 1
_cell_length_a 5.365
_cell_length_b 5.365
_cell_length_c 5.365
_cell_angle_alpha 60.00
_cell_angle_beta 60.00
_cell_angle_gamma 60.00
loop_
_symmetry_equiv_pos_as_xyz
'x,y,z'
loop_
_atom_site_label
_atom_site_fract_x
_atom_site_fract_y
_atom_site_fract_z
Pm1 0.000 0.000 0.000
Pr1 0.500 0.500 0.500
Sc1 0.250 0.250 0.250
Al1 0.750 0.750 0.750

***

No. 2
# CeHoCu GGA-PBE optimized geometry
# Energy of formation from the pure elements: -22 kJ/mol of formula units
# E: -29.7 eV for the cell shown
# DOS at the Fermi energy: 10.1 states/eV/cell
# Energy relative to the lowest polymorph listed for this composition: 0.0000 eV/atom
data_CeHoCu
_symmetry_space_group_name_H-M 'P 1'
_symmetry_Int_Tables_number 1
_cell_length_a 8.832
_cell_length_b 8.832
_cell_length_c 4.783
_cell_angle_alpha 90.00
_cell_angle_beta 90.00
_cell_angle_gamma 158.20
loop_
_symmetry_equiv_pos_as_xyz
'x,y,z'
loop_
_atom_site_label
_atom_site_fract_x
_atom_site_fract_y
_atom_site_fract_z
Ce1 0.220 0.780 0.750
Ce2 0.780 0.220 0.250
Ho1 0.077 0.923 0.250
Ho2 0.923 0.077 0.750
Cu1 0.443 0.557 0.250
Cu2 0.557 0.443 0.750

***

Question: What is the formula in the first record?
Answer: PmPrScAl

***

Question: Which value of DOS at the Fermi energy does entry 1 give?
Answer: 6.7 states/eV/cell

***

Question: Look up the E of the second one.
Answer: -29.7 eV for the cell shown

***

Question: Among the records above, which one has the lowest DOS at the Fermi energy?
Answer: PmPrScAl